{
  "formula": "Rb2CoTeO4",
  "functional": "GGA+U",
  "state": "optimized geometry",
  "space_group": "C2",
  "m_tot_mub_per_fu": 3.03,
  "total_energy_ev_per_fu": -39.9,
  "cell": [[-4.467, 3.679, -3.041], [-3.770, -3.767, 2.756], [3.991, 2.357, 3.130]],
  "species": ["O", "Co", "Te", "Rb", "Rb", "O", "O", "O"],
  "fractional_positions": [[0.378, 0.782, 0.317], [0.994, 0.494, 0.988], [0.692, 0.692, 0.384], [0.203, 0.203, 0.406], [0.470, 0.970, 0.940], [0.750, 0.619, 0.712], [0.938, 0.534, 0.316], [0.962, 0.093, 0.712]]
}